Zr4Sc2C3S3 | OQMD via LeMat-Bulk | PBE-GGA | optimized geometry; space group = C2/c; total energy = -8.58 eV per atom; volume = 15.5 Å³ per atom
1.0
5.1485 -2.9721 0.0000
5.1485 2.9721 0.0000
-3.4383 0.0000 12.1577
Zr Sc C S
8 4 6 6
Cartesian
0.8564 0.5168 1.2241 Zr
0.8730 0.4862 4.8543 Zr
-0.8627 -0.5168 7.3030 Zr
-0.8462 -0.4862 10.9332 Zr
7.7050 0.4862 1.2245 Zr
7.7215 0.5168 4.8548 Zr
5.9858 -0.4862 7.3034 Zr
6.0024 -0.5168 10.9336 Zr
4.3083 0.4882 1.2507 Sc
4.2697 0.4882 4.8281 Sc
2.5891 -0.4882 7.3296 Sc
2.5505 -0.4882 10.9070 Sc
2.5743 1.4860 0.0000 C
2.5656 1.4958 6.0789 C
6.0123 1.4958 0.0000 C
0.8551 -1.4860 6.0789 C
4.2848 -1.4958 0.0000 C
4.2931 -1.4958 6.0789 C
4.2890 2.4604 3.0394 S
0.8715 0.4818 9.1167 S
2.5906 -0.4818 3.0379 S
4.2682 0.4818 9.1199 S
5.9873 -0.4818 3.0410 S
2.5698 -2.4604 9.1183 S